Sr2ZrAl: optimized geometry, GGA-PBEsol.

a = 3.4440 Å, b = 5.1264 Å, c = 6.5781 Å
α = 90.00°, β = 90.00°, γ = 90.00°
Closest atoms and distances in Å follow each position.
Fractional coordinates of all 4 atoms:
Sr 0.0000 0.0000 0.2427  4 Sr 3.19-3.44, 4 Al 3.48, 4 Zr 3.52
Sr 0.0000 0.0000 0.7573  4 Sr 3.19-3.44, 4 Al 3.48, 4 Zr 3.52
Zr 0.5000 0.5000 0.5000  2 Al 3.29, 2 Zr 3.44, 8 Sr 3.52
Al 0.5000 0.5000 0.0000  2 Zr 3.29, 2 Al 3.44, 8 Sr 3.48

Its space group is Pmmm, No. 47. The calculated total energy is -3.86 eV per atom. The formation energy comes out at 0.358 eV/atom.